1.
The following is a GGA-PBE calculation of crystalline MoOsPb4 at its relaxed geometry, from the Alexandria database.

Properties
symmetry = F-43m

Lattice parameters (Å, degrees): 6.144 6.144 6.144 60.00 60.00 60.00
Site moments in Bohr magnetons follow the coordinates.
Fractional coordinates of all 6 atoms:
Pb1 0.876 0.375 0.375  -0.03
Pb2 0.375 0.375 0.876  -0.03
Pb3 0.375 0.876 0.375  -0.03
Pb4 0.375 0.375 0.375  -0.03
Mo1 0.750 0.750 0.750  3.16
Os1 0.000 0.000 0.000  1.55


2.
The following is a GGA-PBE calculation of crystalline CaYHgBi at its relaxed geometry, from the Alexandria database.

Properties
symmetry = F-43m

Lattice parameters (Å, degrees): 5.441 5.441 5.441 60.00 60.00 60.00
Fractional coordinates of all 4 atoms:
Hg1 0.500 0.500 0.500
Y1 0.750 0.750 0.750
Ca1 0.250 0.250 0.250
Bi1 0.000 0.000 0.000


no.,calculated formation energy (eV/f.u.)
1,9.6
2,-2.2